Record 1
The following is a DFT calculation (PBE-GGA) of a relaxed TbNd3SmHo crystal.

Lattice parameters (Å, degrees): 5.126 15.414 10.240 90.00 90.00 90.00
Space group Cmcm (No. 63)
Inequivalent atoms, fractional coordinates:
Tb1 0.000 0.165 0.250
Nd1 0.000 0.166 0.750
Nd2 0.000 0.334 0.501
Sm1 0.000 0.000 0.000
Ho1 0.000 0.499 0.750

## Properties
* DFT total energy: -112.52 eV per cell
* E_form: 17 meV per atom
* Fermi-level density of states: 1.440 states/eV per atom
* theoretical density: 7.4 g/cm³
* calculated volume: 33.711 A^3/atom

=====

Record 2
The following is a DFT calculation (PBE-GGA) of a relaxed Mn2Zn2Au5 crystal.

Lattice parameters (Å, degrees): 15.796 7.241 5.498 90.00 90.00 90.00
Space group Ima2 (No. 46)
Inequivalent atoms, fractional coordinates:
Mn1 0.070 0.129 0.000
Zn1 0.000 0.000 0.541
Zn2 0.250 0.131 0.168
Au1 0.083 0.706 0.725
Au2 0.162 0.064 0.583
Au3 0.250 0.686 0.447

## Properties
* DFT total energy: -149.00 eV per cell
* E_form: 3 meV per atom
* Fermi-level density of states: 0.441 states/eV per atom
* theoretical density: 12.9 g/cm³
* calculated volume: 17.469 A^3/atom

=====

Record 3
The following is a DFT calculation (PBE-GGA) of a relaxed HoTlRuO6 crystal.

Lattice parameters (Å, degrees): 5.5035 5.5035 4.6824 90.00 90.00 120.00
Space group P312 (No. 149)
Inequivalent atoms, fractional coordinates:
Ho1 0.0000 0.0000 0.0000
Tl1 0.6667 0.3333 0.5000
Ru1 0.3333 0.6667 0.0000
O1 0.0459 0.3711 0.2344

## Properties
* E_form (uncorrected): -1.41 eV/atom
* DFT total energy: -58.69 eV per cell
* Fermi-level density of states: 0.533 states/eV per atom
* theoretical density: 7.7 g/cm³
* calculated volume: 13.648 A^3/atom